--- P ---
First-principles (PBE) data for a relaxed SrAs3Ir crystal, as listed in the Alexandria database.

Unit cell a=4.9783 b=4.9783 c=4.9783 alpha=90.00 beta=90.00 gamma=90.00
With the nearest neighbours (Å) after each atom.
Space group Pm-3m (No. 221)
Symmetry-distinct sites (fractional):
1 Sr 0.0000 0.0000 0.0000 x1  12 As 3.52
2 As 0.0000 0.5000 0.5000 x3  2 Ir 2.49
3 Ir 0.5000 0.5000 0.5000 x1  6 As 2.49

Properties
DOS(E_F) in states/eV/cell: 3.38

---

--- Q ---
First-principles (PBE) data for a relaxed SrAs3Ir crystal, as listed in the Alexandria database.

Unit cell a=5.4389 b=5.4389 c=5.4389 alpha=90.00 beta=90.00 gamma=90.00
With the nearest neighbours (Å) after each atom.
Space group Pm-3m (No. 221)
Symmetry-distinct sites (fractional):
1 Sr 0.0000 0.0000 0.0000 x1  6 As 2.72
2 As 0.0000 0.0000 0.5000 x3  2 Sr 2.72
3 Ir 0.5000 0.5000 0.5000 x1  12 As 3.85

Properties
DOS(E_F) in states/eV/cell: 7.44

---

Which is the most stable structure? P is the most stable.

---

--- P ---
First-principles (PBE) data for a relaxed TaAsIr3 crystal, as listed in the Alexandria database.

Unit cell a=4.7845 b=4.7845 c=4.7845 alpha=90.00 beta=90.00 gamma=90.00
With the nearest neighbours (Å) after each atom.
Space group Pm-3m (No. 221)
Symmetry-distinct sites (fractional):
1 Ta 0.0000 0.0000 0.0000 x1  6 Ir 2.39
2 As 0.5000 0.5000 0.5000 x1  12 Ir 3.38
3 Ir 0.0000 0.0000 0.5000 x3  2 Ta 2.39

Properties
DOS(E_F) in states/eV/cell: 4.60

---

--- Q ---
First-principles (PBE) data for a relaxed TaAsIr3 crystal, as listed in the Alexandria database.

Unit cell a=4.5341 b=4.5341 c=4.5341 alpha=90.00 beta=90.00 gamma=90.00
With the nearest neighbours (Å) after each atom.
Space group Pm-3m (No. 221)
Symmetry-distinct sites (fractional):
1 Ta 0.0000 0.0000 0.0000 x1  12 Ir 3.21
2 As 0.5000 0.5000 0.5000 x1  6 Ir 2.27
3 Ir 0.0000 0.5000 0.5000 x3  2 As 2.27

Properties
DOS(E_F) in states/eV/cell: 10.43

---

Which is the most stable structure? Q is the most stable.

---

--- P ---
First-principles (PBE) data for a relaxed TaAs3Ir crystal, as listed in the Alexandria database.

Unit cell a=4.7676 b=4.7676 c=4.7676 alpha=90.00 beta=90.00 gamma=90.00
With the nearest neighbours (Å) after each atom.
Space group Pm-3m (No. 221)
Symmetry-distinct sites (fractional):
1 Ta 0.0000 0.0000 0.0000 x1  12 As 3.37
2 As 0.0000 0.5000 0.5000 x3  2 Ir 2.38
3 Ir 0.5000 0.5000 0.5000 x1  6 As 2.38

Properties
DOS(E_F) in states/eV/cell: 6.67

---

--- Q ---
First-principles (PBE) data for a relaxed TaAs3Ir crystal, as listed in the Alexandria database.

Unit cell a=4.9014 b=4.9014 c=4.9014 alpha=90.00 beta=90.00 gamma=90.00
With the nearest neighbours (Å) after each atom.
Space group Pm-3m (No. 221)
Symmetry-distinct sites (fractional):
1 Ta 0.0000 0.0000 0.0000 x1  6 As 2.45
2 As 0.0000 0.0000 0.5000 x3  2 Ta 2.45
3 Ir 0.5000 0.5000 0.5000 x1  12 As 3.47

Properties
DOS(E_F) in states/eV/cell: 2.31

---

Which is the most stable structure? P is the most stable.

---

--- P ---
First-principles (PBE) data for a relaxed TcAsIr crystal, as listed in the Alexandria database.

Unit cell a=10.3504 b=2.8819 c=6.4928 alpha=90.00 beta=104.56 gamma=90.00
With the nearest neighbours (Å) after each atom.
Space group Cm (No. 8)
Symmetry-distinct sites (fractional):
1 Tc 0.0000 0.0000 0.0000 x2  2 As 2.54, 2 Tc 2.65, 4 Ir 2.73-2.82
2 Tc 0.1953 0.5000 0.2414 x2  2 As 2.46, 2 Tc 2.65, 2 Ir 2.72
3 As 0.0576 0.5000 0.7144 x2  3 Ir 2.50-2.62, 2 Tc 2.54
4 As 0.2799 0.0000 0.5523 x2  2 Tc 2.46, 2 Ir 2.48-2.53
5 Ir 0.2589 0.0000 0.9251 x2  3 As 2.48-2.62, 2 Tc 2.72
6 Ir 0.4465 0.0000 0.3255 x2  2 As 2.50-2.53, 3 Tc 2.73-2.76

Properties
DOS(E_F) in states/eV/cell: 7.28

---

--- Q ---
First-principles (PBE) data for a relaxed TcAsIr crystal, as listed in the Alexandria database.

Unit cell a=2.9823 b=2.9823 c=9.9295 alpha=90.00 beta=90.00 gamma=90.00
With the nearest neighbours (Å) after each atom.
Space group I4mm (No. 107)
Symmetry-distinct sites (fractional):
1 Tc 0.0000 0.0000 0.0000 x2  4 As 2.56, 4 Ir 2.82
2 As 0.0000 0.0000 0.3542 x2  4 Tc 2.56, 4 Ir 2.67
3 Ir 0.0000 0.0000 0.6885 x2  4 As 2.67, 4 Tc 2.82, 4 Ir 2.98

Properties
DOS(E_F) in states/eV/cell: 5.72

---

Which is the most stable structure? P is the most stable.

---

--- P ---
First-principles (PBE) data for a relaxed TcAs4Ir crystal, as listed in the Alexandria database.

Unit cell a=7.4953 b=7.4953 c=7.4953 alpha=90.00 beta=90.00 gamma=90.00
With the nearest neighbours (Å) after each atom.
Space group F-43m (No. 216)
Symmetry-distinct sites (fractional):
1 Tc 0.0000 0.0000 0.0000 x4  12 As 3.11, 4 Ir 3.25
2 As 0.1251 0.1251 0.6251 x16  6 As 2.65
3 Ir 0.2500 0.2500 0.2500 x4  12 As 3.11, 4 Tc 3.25

Properties
DOS(E_F) in states/eV/cell: 17.39

---

--- Q ---
First-principles (PBE) data for a relaxed TcAs4Ir crystal, as listed in the Alexandria database.

Unit cell a=6.0933 b=6.0618 c=6.0076 alpha=90.00 beta=90.81 gamma=90.00
With the nearest neighbours (Å) after each atom.
Space group P2_1/c (No. 14)
Symmetry-distinct sites (fractional):
1 Tc 0.0000 0.0000 0.0000 x2  6 As 2.50-2.53
2 As 0.1256 0.1256 0.3802 x4  1 Ir 2.50, 2 Tc 2.50-2.52, 1 As 2.61
3 As 0.3779 0.6185 0.3797 x4  1 As 2.51, 2 Ir 2.51-2.53, 1 Tc 2.53
4 Ir 0.5000 0.0000 0.5000 x2  6 As 2.50-2.53

Properties
DOS(E_F) in states/eV/cell: 12.11

---

Which is the most stable structure? Q is the most stable.

---

--- P ---
First-principles (PBE) data for a relaxed TlAsIr3 crystal, as listed in the Alexandria database.

Unit cell a=4.9586 b=4.9586 c=4.9586 alpha=90.00 beta=90.00 gamma=90.00
With the nearest neighbours (Å) after each atom.
Space group Pm-3m (No. 221)
Symmetry-distinct sites (fractional):
1 Tl 0.0000 0.0000 0.0000 x1  6 Ir 2.48
2 As 0.5000 0.5000 0.5000 x1  12 Ir 3.51
3 Ir 0.0000 0.0000 0.5000 x3  2 Tl 2.48

Properties
DOS(E_F) in states/eV/cell: 6.37

---

--- Q ---
First-principles (PBE) data for a relaxed TlAsIr3 crystal, as listed in the Alexandria database.

Unit cell a=4.6329 b=4.6329 c=4.6329 alpha=90.00 beta=90.00 gamma=90.00
With the nearest neighbours (Å) after each atom.
Space group Pm-3m (No. 221)
Symmetry-distinct sites (fractional):
1 Tl 0.0000 0.0000 0.0000 x1  12 Ir 3.28
2 As 0.5000 0.5000 0.5000 x1  6 Ir 2.32
3 Ir 0.0000 0.5000 0.5000 x3  2 As 2.32

Properties
DOS(E_F) in states/eV/cell: 10.00

---

Which is the most stable structure? Q is the most stable.

---

--- P ---
First-principles (PBE) data for a relaxed UAs2Ir crystal, as listed in the Alexandria database.

Unit cell a=4.3039 b=4.3039 c=3.8366 alpha=90.00 beta=90.00 gamma=90.00
With the nearest neighbours (Å) after each atom.
Space group P4/mmm (No. 123)
Symmetry-distinct sites (fractional):
1 U 0.0000 0.0000 0.0000 x1  8 As 2.88, 4 Ir 3.04
2 As 0.0000 0.5000 0.5000 x2  4 U 2.88, 4 Ir 2.88, 4 As 3.04
3 Ir 0.5000 0.5000 0.0000 x1  8 As 2.88, 4 U 3.04

Properties
DOS(E_F) in states/eV/cell: 4.65

---

--- Q ---
First-principles (PBE) data for a relaxed UAs2Ir crystal, as listed in the Alexandria database.

Unit cell a=2.9374 b=2.9374 c=28.9804 alpha=90.00 beta=90.00 gamma=120.00
With the nearest neighbours (Å) after each atom.
Space group R-3m (No. 166, hexagonal axes)
Symmetry-distinct sites (fractional):
1 U 0.0000 0.0000 0.0000 x3  6 U 2.94, 6 As 2.97
2 As 0.0000 0.0000 0.4176 x6  1 Ir 2.39
3 Ir 0.0000 0.0000 0.5000 x3  2 As 2.39

Properties
DOS(E_F) in states/eV/cell: 14.71

---

Which is the most stable structure? P is the most stable.

---

--- P ---
First-principles (PBE) data for a relaxed VAs2Ir crystal, as listed in the Alexandria database.

Unit cell a=6.1914 b=6.1914 c=6.1914 alpha=90.00 beta=90.00 gamma=90.00
With the nearest neighbours (Å) after each atom.
Space group Fm-3m (No. 225)
Symmetry-distinct sites (fractional):
1 V 0.0000 0.0000 0.0000 x4  8 As 2.68
2 As 0.2500 0.2500 0.2500 x8  4 Ir 2.68, 4 V 2.68
3 Ir 0.0000 0.0000 0.5000 x4  8 As 2.68

Properties
DOS(E_F) in states/eV/cell: 12.67

---

--- Q ---
First-principles (PBE) data for a relaxed VAs2Ir crystal, as listed in the Alexandria database.

Unit cell a=2.9495 b=2.9495 c=25.3047 alpha=90.00 beta=90.00 gamma=120.00
With the nearest neighbours (Å) after each atom.
Space group R-3m (No. 166, hexagonal axes)
Symmetry-distinct sites (fractional):
1 V 0.0000 0.0000 0.0000 x3  6 As 2.49
2 As 0.0000 0.0000 0.4053 x6  1 Ir 2.40, 3 V 2.49
3 Ir 0.0000 0.0000 0.5000 x3  2 As 2.40

Properties
DOS(E_F) in states/eV/cell: 9.21

---

Which is the most stable structure? Q is the most stable.